Compound: AlNiAgMo
Source: OQMD via LeMat-Bulk
Functional: PBE
Structure: relaxed

Properties
E = -5.484 eV per atom

Cell: 6.1977 6.1977 6.1977 Å, 90.00 90.00 90.00°
Element x y z (fractional)
Al  0.0000  0.0000  0.0000
Al  0.0000  0.5000  0.5000
Al  0.5000  0.0000  0.5000
Al  0.5000  0.5000  0.0000
Ni  0.2500  0.2500  0.2500
Ni  0.2500  0.7500  0.7500
Ni  0.7500  0.2500  0.7500
Ni  0.7500  0.7500  0.2500
Ag  0.0000  0.0000  0.5000
Ag  0.0000  0.5000  0.0000
Ag  0.5000  0.0000  0.0000
Ag  0.5000  0.5000  0.5000
Mo  0.2500  0.2500  0.7500
Mo  0.2500  0.7500  0.2500
Mo  0.7500  0.2500  0.2500
Mo  0.7500  0.7500  0.7500



Compound: Al3AgN
Source: OQMD via LeMat-Bulk
Functional: PBE
Structure: relaxed

Properties
E = -4.443 eV per atom

Cell: 4.0718 4.0718 4.0718 Å, 90.00 90.00 90.00°
Element x y z (fractional)
Al  0.0000  0.0000  0.5000
Al  0.0000  0.5000  0.0000
Al  0.5000  0.0000  0.0000
Ag  0.5000  0.5000  0.5000
N  0.0000  0.0000  0.0000



Compound: AlAgNO
Source: OQMD via LeMat-Bulk
Functional: PBE
Structure: relaxed

Properties
relative energy among the computed polymorphs = 0 meV/atom
E = -5.786 eV per atom

Cell: 3.0387 6.0120 5.6023 Å, 90.00 90.00 90.00°
Element x y z (fractional)
Al  0.0000  0.1541  0.0000
Al  0.0000  0.8459  0.5000
Ag  0.5000  0.3226  0.4738
Ag  0.5000  0.6774  0.9738
N  0.0000  0.1157  0.3336
N  0.0000  0.8843  0.8336
O  0.5000  0.2941  0.9232
O  0.5000  0.7059  0.4232



Compound: AlAgNO
Source: OQMD via LeMat-Bulk
Functional: PBE
Structure: relaxed

Properties
relative energy among the computed polymorphs = 19 meV/atom
E = -5.766 eV per atom

Cell: 3.2117 6.1423 5.1190 Å, 90.00 90.00 90.00°
Element x y z (fractional)
Al  0.0000  0.1399  0.0000
Al  0.0000  0.8601  0.5000
Ag  0.5000  0.3926  0.5104
Ag  0.5000  0.6074  0.0104
N  0.5000  0.2732  0.9041
N  0.5000  0.7268  0.4041
O  0.0000  0.1194  0.3470
O  0.0000  0.8806  0.8470



Compound: AlAgNO
Source: OQMD via LeMat-Bulk
Functional: PBE
Structure: relaxed

Properties
relative energy among the computed polymorphs = 580 meV/atom
E = -5.205 eV per atom

Cell: 3.9273 3.9273 6.4559 Å, 90.00 90.00 90.00°
Element x y z (fractional)
Al  0.2500  0.7500  0.0000
Al  0.7500  0.2500  0.0000
Ag  0.2500  0.2500  0.3678
Ag  0.7500  0.7500  0.6322
N  0.2500  0.2500  0.9814
N  0.7500  0.7500  0.0186
O  0.2500  0.7500  0.5000
O  0.7500  0.2500  0.5000



Compound: AlAgNO
Source: OQMD via LeMat-Bulk
Functional: PBE
Structure: relaxed

Properties
relative energy among the computed polymorphs = 29 meV/atom
E = -5.756 eV per atom

Cell: 5.4305 7.5975 5.1010 Å, 90.00 90.00 90.00°
Element x y z (fractional)
Al  0.0745  0.1044  0.0000
Al  0.4255  0.1044  0.5000
Al  0.5745  0.8956  0.0000
Al  0.9255  0.8956  0.5000
Ag  0.1035  0.5611  0.9265
Ag  0.3965  0.5611  0.4265
Ag  0.6035  0.4389  0.9265
Ag  0.8965  0.4389  0.4265
N  0.0570  0.6812  0.5543
N  0.4430  0.6812  0.0543
N  0.5570  0.3188  0.5543
N  0.9430  0.3188  0.0543
O  0.1348  0.0514  0.6588
O  0.3652  0.0514  0.1588
O  0.6348  0.9486  0.6588
O  0.8652  0.9486  0.1588



Compound: AlAgNO
Source: OQMD via LeMat-Bulk
Functional: PBE
Structure: relaxed

Properties
relative energy among the computed polymorphs = 173 meV/atom
E = -5.612 eV per atom

Cell: 3.6999 3.6999 7.6045 Å, 90.00 90.00 90.00°
Element x y z (fractional)
Al  0.2500  0.2500  0.0896
Al  0.7500  0.7500  0.9104
Ag  0.2500  0.7500  0.5000
Ag  0.7500  0.2500  0.5000
N  0.2500  0.2500  0.3278
N  0.7500  0.7500  0.6722
O  0.2500  0.7500  0.0000
O  0.7500  0.2500  0.0000



Compound: AlAgNO
Source: OQMD via LeMat-Bulk
Functional: PBE
Structure: relaxed

Properties
relative energy among the computed polymorphs = 103 meV/atom
E = -5.682 eV per atom

Cell: 5.7582 7.1244 4.8873 Å, 90.00 90.00 90.00°
Element x y z (fractional)
Al  0.0942  0.1060  0.0000
Al  0.4058  0.1060  0.5000
Al  0.5942  0.8940  0.0000
Al  0.9058  0.8940  0.5000
Ag  0.0245  0.6387  0.0529
Ag  0.4755  0.6387  0.5529
Ag  0.5245  0.3613  0.0529
Ag  0.9755  0.3613  0.5529
N  0.0994  0.0843  0.6204
N  0.4006  0.0843  0.1204
N  0.5994  0.9157  0.6204
N  0.9006  0.9157  0.1204
O  0.0219  0.6659  0.5708
O  0.4781  0.6659  0.0708
O  0.5219  0.3341  0.5708
O  0.9781  0.3341  0.0708



Compound: Na4Al2AgPd
Source: OQMD via LeMat-Bulk
Functional: PBE
Structure: relaxed

Properties
E = -2.589 eV per atom

Cell: 4.7740 4.7740 6.7613 Å, 90.00 90.00 90.00°
Element x y z (fractional)
Na  0.0000  0.0000  0.0000
Na  0.0000  0.5000  0.7479
Na  0.5000  0.0000  0.2521
Na  0.5000  0.5000  0.5000
Al  0.0000  0.5000  0.2677
Al  0.5000  0.0000  0.7323
Ag  0.5000  0.5000  0.0000
Pd  0.0000  0.0000  0.5000



Compound: Na2Sc2Al2AgPd
Source: OQMD via LeMat-Bulk
Functional: PBE
Structure: relaxed

Properties
E = -4.047 eV per atom

Cell: 4.6930 4.6930 6.6569 Å, 90.00 90.00 90.00°
Element x y z (fractional)
Na  0.0000  0.0000  0.0000
Na  0.5000  0.5000  0.5000
Sc  0.0000  0.5000  0.2406
Sc  0.5000  0.0000  0.7594
Al  0.0000  0.5000  0.7570
Al  0.5000  0.0000  0.2430
Ag  0.0000  0.0000  0.5000
Pd  0.5000  0.5000  0.0000



Compound: Na2Sc2Al2AgPt
Source: OQMD via LeMat-Bulk
Functional: PBE
Structure: relaxed

Properties
E = -4.264 eV per atom

Cell: 4.6629 4.6629 6.6817 Å, 90.00 90.00 90.00°
Element x y z (fractional)
Na  0.0000  0.0000  0.0000
Na  0.5000  0.5000  0.5000
Sc  0.0000  0.5000  0.2373
Sc  0.5000  0.0000  0.7627
Al  0.0000  0.5000  0.7612
Al  0.5000  0.0000  0.2388
Ag  0.0000  0.0000  0.5000
Pt  0.5000  0.5000  0.0000



Compound: NaAl4AgS2
Source: OQMD via LeMat-Bulk
Functional: PBE
Structure: relaxed

Properties
E = -3.465 eV per atom

Cell: 6.4316 6.4316 9.7532 Å, 90.00 90.00 90.00°
Element x y z (fractional)
Na  0.0000  0.0000  0.0000
Na  0.5000  0.5000  0.5000
Al  0.1434  0.1481  0.2892
Al  0.1481  0.8566  0.7108
Al  0.3519  0.6434  0.2108
Al  0.3566  0.3519  0.7892
Al  0.6434  0.6481  0.7892
Al  0.6481  0.3566  0.2108
Al  0.8519  0.1434  0.7108
Al  0.8566  0.8519  0.2892
Ag  0.0000  0.5000  0.7500
Ag  0.5000  0.0000  0.2500
S  0.0000  0.0000  0.5000
S  0.0000  0.5000  0.2500
S  0.5000  0.0000  0.7500
S  0.5000  0.5000  0.0000



Volume across the listed records, respectively: 14.88; 13.50; 12.79; 12.62; 12.45; 13.15; 13.01; 12.53; 19.26; 18.33; 18.16; 25.22 Å³ per atom.